PBE TaTc2SnS, relaxed; calculated total energy = -6.552 eV per atom; raw formation energy = 1.590 eV/atom; SG = P4/mmm, No. 123
1.0
4.786 0.000 0.000
0.000 5.443 0.000
0.000 0.000 4.786
Tc S Sn Ta
2 1 1 1
Direct
0.000 0.000 0.500
0.500 0.000 0.000
0.500 0.500 0.500
0.000 0.500 0.000
0.000 0.000 0.000